P:
A relaxed structure of Pm2SmY. Source: Alexandria via LeMat-Bulk, functional GGA-PBE.

Results
total magnetization = 0.00 Bohr magnetons per cell
N(E_F) = 5.75 states/eV/f.u.

Cell lengths 10.2544, 10.2602, 5.1257 Å; angles 90.00, 90.00, 90.00 degrees
Last column: nearest neighbours and their distance in Å.
Space group Cmcm (No. 63)
Symmetry-distinct sites (fractional):
Pm1 0.2502 0.1251 0.2500 [8 per cell]  4 Y 3.62-3.63, 4 Sm 3.62-3.63, 4 Pm 3.62-3.63
Sm1 0.0000 0.1255 0.7500 [4 per cell]  8 Pm 3.62-3.63, 2 Y 3.63, 2 Sm 3.63
Y1 0.0000 0.3758 0.2500 [4 per cell]  2 Y 3.61, 8 Pm 3.62-3.63, 2 Sm 3.63

Q:
A relaxed structure of Pm2SmY. Source: Alexandria via LeMat-Bulk, functional GGA-PBE.

Results
total magnetization = 0.00 Bohr magnetons per cell
N(E_F) = 9.53 states/eV/f.u.

Cell lengths 8.1589, 8.1589, 8.1589 Å; angles 90.00, 90.00, 90.00 degrees
Last column: nearest neighbours and their distance in Å.
Space group Fm-3m (No. 225)
Symmetry-distinct sites (fractional):
Pm1 0.2500 0.2500 0.2500 [8 per cell]  4 Sm 3.53, 4 Y 3.53
Sm1 0.0000 0.0000 0.0000 [4 per cell]  8 Pm 3.53
Y1 0.0000 0.0000 0.5000 [4 per cell]  8 Pm 3.53

Energy ordering: P at the bottom, the next structure 0.115 eV/atom above.

P:
A relaxed structure of Pm2Sm7Y2. Source: Alexandria via LeMat-Bulk, functional GGA-PBE.

Results
total magnetization = 0.00 Bohr magnetons per cell
N(E_F) = 17.50 states/eV/f.u.

Cell lengths 8.5647, 11.0205, 8.2724 Å; angles 90.00, 105.72, 90.00 degrees
Last column: nearest neighbours and their distance in Å.
Space group C2/m (No. 12)
Symmetry-distinct sites (fractional):
Pm1 0.0000 0.2154 0.0000 [4 per cell]  6 Sm 3.34-3.60, 4 Y 3.50-3.58
Sm1 0.0000 0.5000 0.5000 [2 per cell]  6 Sm 3.52-3.74, 2 Y 3.80
Sm2 0.0782 0.0000 0.3185 [4 per cell]  6 Sm 3.31-3.60, 2 Pm 3.47, 1 Y 3.49
Sm3 0.1981 0.2065 0.6674 [8 per cell]  3 Sm 3.27-3.60, 2 Pm 3.34-3.60
Y1 0.1932 0.5000 0.9718 [4 per cell]  1 Y 3.46, 5 Sm 3.49-3.80, 4 Pm 3.50-3.58

Q:
A relaxed structure of Pm2Sm7Y2. Source: Alexandria via LeMat-Bulk, functional GGA-PBE.

Results
total magnetization = 0.00 Bohr magnetons per cell
N(E_F) = 16.69 states/eV/f.u.

Cell lengths 6.9851, 10.7239, 10.0081 Å; angles 90.00, 92.11, 90.00 degrees
Last column: nearest neighbours and their distance in Å.
Space group C2/m (No. 12)
Symmetry-distinct sites (fractional):
Pm1 0.2004 0.0000 0.2832 [4 per cell]  8 Sm 3.43-3.75, 2 Y 3.57
Sm1 0.0000 0.5000 0.0000 [2 per cell]  2 Pm 3.58, 10 Sm 3.62-3.83
Sm2 0.1295 0.2054 0.8520 [8 per cell]  7 Sm 3.40-3.67, 2 Pm 3.43-3.65, 1 Y 3.61
Sm3 0.1808 0.5000 0.3661 [4 per cell]  3 Sm 3.40-3.75, 3 Pm 3.43-3.75, 4 Y 3.49-3.52
Y1 0.0000 0.2253 0.5000 [4 per cell]  6 Sm 3.49-3.61, 2 Y 3.53, 2 Pm 3.57

Energy ordering: Q at the bottom, the next structure 0.044 eV/atom above.

P:
A relaxed structure of Pm12Sm7Y. Source: Alexandria via LeMat-Bulk, functional GGA-PBE.

Results
total magnetization = 0.00 Bohr magnetons per cell
N(E_F) = 39.83 states/eV/f.u.

Cell lengths 12.2565, 12.2565, 16.1022 Å; angles 90.00, 90.00, 120.00 degrees
Last column: nearest neighbours and their distance in Å.
Space group R-3 (No. 148, hexagonal axes)
Symmetry-distinct sites (fractional):
Pm1 0.0222 0.5744 0.2226 [18 per cell]  3 Pm 3.26-3.43, 1 Y 3.51, 1 Sm 3.60
Pm2 0.0542 0.4651 0.5812 [18 per cell]  4 Pm 3.24-3.43, 2 Sm 3.35-3.60
Sm1 0.0000 0.0000 0.0000 [3 per cell]  6 Pm 3.35
Sm2 0.0559 0.8677 0.2941 [18 per cell]  3 Sm 3.46-3.55, 7 Pm 3.60-3.82
Y1 0.0000 0.0000 0.5000 [3 per cell]  6 Pm 3.51, 6 Sm 3.90

Q:
A relaxed structure of Pm12Sm7Y. Source: Alexandria via LeMat-Bulk, functional GGA-PBE.

Results
total magnetization = 0.00 Bohr magnetons per cell
N(E_F) = 25.08 states/eV/f.u.

Cell lengths 11.5543, 11.5543, 11.5543 Å; angles 90.00, 90.00, 90.00 degrees
Last column: nearest neighbours and their distance in Å.
Space group Im-3m (No. 229)
Symmetry-distinct sites (fractional):
Pm1 0.0000 0.2491 0.2491 [24 per cell]  2 Sm 2.89
Sm1 0.0000 0.0000 0.5000 [6 per cell]  12 Pm 4.09-4.10
Sm2 0.2500 0.2500 0.2500 [8 per cell]  6 Pm 2.89
Y1 0.0000 0.0000 0.0000 [2 per cell]  12 Pm 4.07

Energy ordering: P at the bottom, the next structure 0.394 eV/atom above.

P:
A relaxed structure of Pm5Sm3Y3. Source: Alexandria via LeMat-Bulk, functional GGA-PBE.

Results
total magnetization = 0.00 Bohr magnetons per cell
N(E_F) = 17.33 states/eV/f.u.

Cell lengths 11.3465, 11.3465, 3.4713 Å; angles 90.00, 90.00, 120.00 degrees
Last column: nearest neighbours and their distance in Å.
Space group P-62m (No. 189)
Symmetry-distinct sites (fractional):
Pm1 0.0000 0.6608 0.0000 [3 per cell]  2 Y 3.33, 2 Sm 3.37, 2 Pm 3.47
Pm2 0.3333 0.6667 0.0000 [2 per cell]  5 Pm 3.47-3.75, 6 Sm 3.86
Sm1 0.0000 0.4058 0.5000 [3 per cell]  2 Y 3.28, 2 Pm 3.37, 2 Sm 3.47
Y1 0.0000 0.1610 0.0000 [3 per cell]  4 Y 3.16-3.47, 2 Sm 3.28, 2 Pm 3.33

Q:
A relaxed structure of Pm5Sm3Y3. Source: Alexandria via LeMat-Bulk, functional GGA-PBE.

Results
total magnetization = 0.00 Bohr magnetons per cell
N(E_F) = 19.96 states/eV/f.u.

Cell lengths 9.8071, 9.8071, 5.4907 Å; angles 90.00, 90.00, 120.00 degrees
Last column: nearest neighbours and their distance in Å.
Space group P-62m (No. 189)
Symmetry-distinct sites (fractional):
Pm1 0.0000 0.7318 0.0000 [3 per cell]  2 Sm 3.14, 2 Y 3.22
Pm2 0.3333 0.6667 0.0000 [2 per cell]  3 Y 3.12
Sm1 0.0000 0.5758 0.5000 [3 per cell]  2 Pm 3.14, 2 Y 3.43
Y1 0.0000 0.3668 0.0000 [3 per cell]  4 Pm 3.12-3.22, 2 Sm 3.43

Energy ordering: P at the bottom, the next structure 0.439 eV/atom above.

P:
A relaxed structure of Pm5SmY3. Source: Alexandria via LeMat-Bulk, functional GGA-PBE.

Results
total magnetization = 0.00 Bohr magnetons per cell
N(E_F) = 12.97 states/eV/f.u.

Cell lengths 16.9662, 8.2104, 12.4892 Å; angles 90.00, 131.30, 90.00 degrees
Last column: nearest neighbours and their distance in Å.
Space group C2/m (No. 12)
Symmetry-distinct sites (fractional):
Pm1 0.0000 0.1828 0.0000 [4 per cell]  1 Y 2.60
Pm2 0.0634 0.2988 0.7762 [8 per cell]  4 Pm 3.30-3.70, 1 Y 3.42, 2 Sm 3.68-3.69
Pm3 0.1326 0.5000 0.5728 [4 per cell]  6 Pm 3.42-3.81, 2 Y 3.47-3.57
Pm4 0.1947 0.0000 0.0631 [4 per cell]  5 Pm 3.22-3.57, 1 Sm 3.27
Sm1 0.2373 0.5000 0.1282 [4 per cell]  2 Y 3.20-3.38, 1 Pm 3.27
Y1 0.0000 0.0000 0.5000 [2 per cell]  2 Sm 3.76, 4 Pm 3.77, 2 Y 3.86
Y2 0.0000 0.5000 0.0000 [2 per cell]  2 Pm 2.60
Y3 0.1109 0.0000 0.3120 [4 per cell]  1 Y 3.30, 5 Pm 3.36-3.57
Y4 0.1818 0.5000 0.3434 [4 per cell]  2 Y 3.23-3.30, 1 Sm 3.38, 1 Pm 3.47

Q:
A relaxed structure of Pm5SmY3. Source: Alexandria via LeMat-Bulk, functional GGA-PBE.

Results
total magnetization = 0.00 Bohr magnetons per cell
N(E_F) = 13.02 states/eV/f.u.

Cell lengths 16.4510, 6.8054, 11.6647 Å; angles 90.00, 110.14, 90.00 degrees
Last column: nearest neighbours and their distance in Å.
Space group C2/c (No. 15)
Symmetry-distinct sites (fractional):
Pm1 0.0000 0.1843 0.2500 [4 per cell]  1 Sm 3.02, 2 Pm 3.06
Pm2 0.1106 0.0048 0.5498 [8 per cell]  4 Pm 3.42-3.65, 4 Y 3.54-3.78, 1 Sm 3.80
Pm3 0.1713 0.4082 0.3493 [8 per cell]  2 Pm 3.06-3.42, 2 Y 3.35
Sm1 0.0000 0.2600 0.7500 [4 per cell]  1 Pm 3.02, 2 Y 3.34
Y1 0.0000 0.5000 0.0000 [4 per cell]  2 Sm 3.34, 2 Pm 3.62
Y2 0.2402 0.0998 0.8702 [8 per cell]  7 Pm 3.35-3.67, 1 Y 3.58

Energy ordering: Q at the bottom, the next structure 0.239 eV/atom above.

P:
A relaxed structure of PmSm12Y7. Source: Alexandria via LeMat-Bulk, functional GGA-PBE.

Results
total magnetization = 0.00 Bohr magnetons per cell
N(E_F) = 37.56 states/eV/f.u.

Cell lengths 15.2503, 15.2503, 10.0883 Å; angles 90.00, 90.00, 120.00 degrees
Last column: nearest neighbours and their distance in Å.
Space group R-3 (No. 148, hexagonal axes)
Symmetry-distinct sites (fractional):
Pm1 0.0000 0.0000 0.0000 [3 per cell]  6 Y 3.45, 6 Sm 3.77
Sm1 0.0448 0.2471 0.5751 [18 per cell]  2 Sm 3.33-3.51, 4 Y 3.37-3.56
Sm2 0.0467 0.2013 0.2526 [18 per cell]  2 Sm 3.33-3.51, 4 Y 3.35-3.68
Y1 0.0000 0.0000 0.5000 [3 per cell]  12 Sm 3.56-3.74
Y2 0.0653 0.2464 0.9258 [18 per cell]  7 Sm 3.35-3.68, 3 Y 3.45-3.69, 1 Pm 3.45

Q:
A relaxed structure of PmSm12Y7. Source: Alexandria via LeMat-Bulk, functional GGA-PBE.

Results
total magnetization = 0.00 Bohr magnetons per cell
N(E_F) = 25.65 states/eV/f.u.

Cell lengths 11.4714, 11.4714, 11.4714 Å; angles 90.00, 90.00, 90.00 degrees
Last column: nearest neighbours and their distance in Å.
Space group Im-3 (No. 204)
Symmetry-distinct sites (fractional):
Pm1 0.0000 0.0000 0.0000 [2 per cell]  12 Sm 4.09
Sm1 0.0000 0.2528 0.2517 [24 per cell]  2 Y 2.87
Y1 0.0000 0.0000 0.5000 [6 per cell]  12 Sm 4.02-4.06
Y2 0.2500 0.2500 0.2500 [8 per cell]  6 Sm 2.87

Energy ordering: P at the bottom, the next structure 0.524 eV/atom above.

P:
A relaxed structure of PmSm7Y2. Source: Alexandria via LeMat-Bulk, functional GGA-PBE.

Results
total magnetization = 0.00 Bohr magnetons per cell
N(E_F) = 15.10 states/eV/f.u.

Cell lengths 6.2658, 6.2685, 9.5803 Å; angles 70.93, 70.92, 80.42 degrees
Last column: nearest neighbours and their distance in Å.
Space group P-1 (No. 2)
Symmetry-distinct sites (fractional):
Pm1 0.0000 0.0000 0.0000 [1 per cell]  10 Sm 3.62, 2 Y 3.62
Sm1 0.2003 0.0004 0.5995 [2 per cell]  8 Sm 3.61-3.62, 3 Y 3.61-3.62, 1 Pm 3.62
Sm2 0.3004 0.4996 0.8993 [2 per cell]  7 Sm 3.61-3.63, 3 Y 3.62-3.63, 2 Pm 3.62
Sm3 0.3998 0.0003 0.2003 [2 per cell]  8 Sm 3.61-3.63, 2 Y 3.62, 2 Pm 3.62
Sm4 0.5000 0.5000 0.5000 [1 per cell]  8 Sm 3.61-3.62, 4 Y 3.62
Y1 0.1000 0.4996 0.3004 [2 per cell]  10 Sm 3.61-3.63, 1 Y 3.62, 1 Pm 3.62

Q:
A relaxed structure of PmSm7Y2. Source: Alexandria via LeMat-Bulk, functional GGA-PBE.

Results
total magnetization = 0.00 Bohr magnetons per cell
N(E_F) = 15.75 states/eV/f.u.

Cell lengths 8.6858, 17.2516, 5.4640 Å; angles 90.00, 90.00, 90.00 degrees
Last column: nearest neighbours and their distance in Å.
Space group Cmmm (No. 65)
Symmetry-distinct sites (fractional):
Pm1 0.0000 0.0000 0.0000 [2 per cell]  10 Sm 3.49-3.67
Sm1 0.0000 0.2022 0.0000 [4 per cell]  2 Y 3.16, 1 Pm 3.49, 4 Sm 3.52
Sm2 0.0000 0.5000 0.5000 [2 per cell]  4 Sm 3.37, 2 Y 3.55
Sm3 0.1790 0.1100 0.5000 [8 per cell]  2 Sm 3.11-3.37, 1 Y 3.24
Y1 0.0000 0.2942 0.5000 [4 per cell]  6 Sm 3.16-3.54

Energy ordering: P at the bottom, the next structure 0.652 eV/atom above.

P:
A relaxed structure of Pm3Sm4Y5. Source: Alexandria via LeMat-Bulk, functional GGA-PBE.

Results
total magnetization = 0.61 Bohr magnetons per cell
N(E_F) = 19.03 states/eV/f.u.

Cell lengths 16.2155, 5.9831, 9.3733 Å; angles 90.00, 116.20, 90.00 degrees
Last column: nearest neighbours and their distance in Å.
Space group C2/m (No. 12)
Symmetry-distinct sites (fractional):
Pm1 0.0000 0.0000 0.0000 [2 per cell]  2 Y 2.99
Pm2 0.2095 0.5000 0.2320 [4 per cell]  5 Y 3.12-3.50, 2 Sm 3.31-3.43
Sm1 0.0833 0.5000 0.4447 [4 per cell]  2 Sm 3.29-3.68, 1 Pm 3.43, 3 Y 3.46-3.57
Sm2 0.2121 0.5000 0.8813 [4 per cell]  3 Pm 3.31-3.59, 3 Sm 3.60-3.68, 2 Y 3.68
Y1 0.0000 0.5000 0.0000 [2 per cell]  4 Pm 2.99-3.12
Y2 0.0730 0.0000 0.7004 [4 per cell]  2 Pm 3.30-3.50, 2 Y 3.44-3.68, 2 Sm 3.68
Y3 0.1718 0.0000 0.3870 [4 per cell]  4 Pm 3.22-3.50, 3 Sm 3.46-3.57

Q:
A relaxed structure of Pm3Sm4Y5. Source: Alexandria via LeMat-Bulk, functional GGA-PBE.

Results
total magnetization = 0.00 Bohr magnetons per cell
N(E_F) = 16.14 states/eV/f.u.

Cell lengths 6.2495, 7.2173, 8.8388 Å; angles 90.06, 90.08, 90.14 degrees
Last column: nearest neighbours and their distance in Å.
Space group P-1 (No. 2)
Symmetry-distinct sites (fractional):
Pm1 0.0000 0.0000 0.0000 [1 per cell]  8 Y 3.60-3.61, 2 Sm 3.61, 2 Pm 3.61
Pm2 0.1668 0.7493 0.6676 [2 per cell]  6 Sm 3.60-3.62, 5 Y 3.60-3.63, 1 Pm 3.61
Sm1 0.1672 0.2502 0.6675 [2 per cell]  5 Y 3.60-3.62, 4 Pm 3.60-3.62, 3 Sm 3.60-3.61
Sm2 0.3327 0.5005 0.3334 [2 per cell]  3 Pm 3.60-3.61, 4 Sm 3.60-3.61, 5 Y 3.60-3.61
Y1 0.0000 0.5000 0.0000 [1 per cell]  4 Pm 3.60-3.61, 4 Sm 3.60, 4 Y 3.61
Y2 0.3332 0.0002 0.3321 [2 per cell]  4 Pm 3.60-3.63, 3 Y 3.60-3.62, 5 Sm 3.61-3.62
Y3 0.4997 0.2496 0.9999 [2 per cell]  3 Sm 3.60-3.61, 6 Y 3.60-3.61, 3 Pm 3.60-3.61

Energy ordering: Q at the bottom, the next structure 0.205 eV/atom above.

P:
A relaxed structure of Pm2Sm2Y. Source: Alexandria via LeMat-Bulk, functional GGA-PBE.

Results
total magnetization = 0.00 Bohr magnetons per cell
N(E_F) = 8.56 states/eV/f.u.

Cell lengths 16.3048, 6.1753, 6.9051 Å; angles 90.00, 101.72, 90.00 degrees
Last column: nearest neighbours and their distance in Å.
Space group C2/c (No. 15)
Symmetry-distinct sites (fractional):
Pm1 0.1966 0.0499 0.0774 [8 per cell]  3 Pm 3.32-3.51, 3 Sm 3.42-3.71, 2 Y 3.60-3.64
Sm1 0.0964 0.4232 0.6449 [8 per cell]  3 Pm 3.42-3.71, 4 Sm 3.50-3.72, 3 Y 3.57-3.64
Y1 0.0000 0.0708 0.2500 [4 per cell]  2 Y 3.56, 6 Sm 3.57-3.64, 4 Pm 3.60-3.64

Q:
A relaxed structure of Pm2Sm2Y. Source: Alexandria via LeMat-Bulk, functional GGA-PBE.

Results
total magnetization = 0.00 Bohr magnetons per cell
N(E_F) = 4.93 states/eV/f.u.

Cell lengths 9.5144, 9.5144, 3.7735 Å; angles 90.00, 90.00, 90.00 degrees
Last column: nearest neighbours and their distance in Å.
Space group P4/mbm (No. 127)
Symmetry-distinct sites (fractional):
Pm1 0.1713 0.3288 0.0000 [4 per cell]  6 Sm 3.29-3.45
Sm1 0.1287 0.6287 0.5000 [4 per cell]  6 Pm 3.29-3.45, 1 Sm 3.46
Y1 0.0000 0.0000 0.5000 [2 per cell]  4 Sm 3.74, 2 Y 3.77, 8 Pm 4.00

Energy ordering: P at the bottom, the next structure 0.023 eV/atom above.